# 1
LiTaAs: optimized geometry, PBE-GGA.

Cell lengths 2.997, 2.997, 6.822 Å; angles 90.00, 90.00, 120.00 degrees
Atoms (fractional coordinates):
Li (0.000, 0.000, 0.000)
Ta (0.333, 0.667, 0.369)
As (0.667, 0.333, 0.677)

Computed properties:
polymorph energy (0 for the lowest one) = 11.82 kcal/mol of atoms
space-group type = P3m1
crystal system = trigonal

=====

# 2
PuZr3Ir2: optimized geometry, PBE-GGA.

Cell lengths 7.792, 7.792, 7.974 Å; angles 114.05, 114.05, 35.58 degrees
Atoms (fractional coordinates):
Pu (0.132, 0.132, 0.200)
Pu (0.868, 0.868, 0.800)
Zr (0.060, 0.060, 0.721)
Zr (0.301, 0.301, 0.967)
Zr (0.385, 0.385, 0.475)
Zr (0.615, 0.615, 0.525)
Zr (0.699, 0.699, 0.033)
Zr (0.940, 0.940, 0.279)
Ir (0.218, 0.218, 0.598)
Ir (0.493, 0.493, 0.164)
Ir (0.507, 0.507, 0.836)
Ir (0.782, 0.782, 0.402)

Computed properties:
uncorrected energy = -10.05 eV/atom
space-group type = C2/m
crystal system = monoclinic

=====

# 3
Ta2ZnCu: optimized geometry, PBE-GGA.

Cell lengths 2.905, 3.767, 5.869 Å; angles 90.00, 90.00, 90.00 degrees
Atoms (fractional coordinates):
Ta (0.000, 0.000, 0.000)
Ta (0.500, 0.500, 0.263)
Zn (0.000, 0.000, 0.524)
Cu (0.500, 0.500, 0.741)

Computed properties:
uncorrected energy = -7.15 eV/atom
space-group type = Pmm2
crystal system = orthorhombic

=====

Values of calculated volume, in order: 17.69, 21.22, 16.06, all in Å³/atom.
Values of total moment, in order: 0.00, 5.21, 0.00, all in μB per formula unit.